# 1
Material: Ba2GeB
Method: DFT, PBE
State: relaxed

abc: 7.865 7.865 7.865
angles: 90.00 90.00 90.00
Space group Fm-3m (No. 225)
Inequivalent atoms, fractional coordinates:
1 Ba 0.250 0.250 0.250 (multiplicity 8)
2 Ge 0.000 0.000 0.000 (multiplicity 4)
3 B 0.000 0.000 0.500 (multiplicity 4)

Values from the calculation:
V ... 30.40 Å³ per atom
DOS at the Fermi energy ... 10.6 states/eV/cell
Energy of formation from the pure elements ... 426.1 meV per atom

# 2
Material: BaHf2GeB
Method: DFT, PBE
State: relaxed

abc: 4.683 4.683 5.591
angles: 90.00 90.00 90.00
Space group P4/mmm (No. 123)
Inequivalent atoms, fractional coordinates:
1 Ba 0.000 0.000 0.000 (multiplicity 1)
2 Hf 0.000 0.500 0.500 (multiplicity 2)
3 Ge 0.500 0.500 0.000 (multiplicity 1)
4 B 0.000 0.000 0.500 (multiplicity 1)

Values from the calculation:
V ... 24.52 Å³ per atom
DOS at the Fermi energy ... 3.5 states/eV/cell
Energy of formation from the pure elements ... 310.4 meV per atom

# 3
Material: BaHfGeB
Method: DFT, PBE
State: relaxed

abc: 3.861 4.099 6.757
angles: 86.90 88.65 65.15
Space group P1 (No. 1)
Inequivalent atoms, fractional coordinates:
1 Ba 0.000 0.000 0.000 (multiplicity 1)
2 Hf 0.324 0.305 0.442 (multiplicity 1)
3 Ge 0.666 0.670 0.654 (multiplicity 1)
4 B 0.658 0.687 0.335 (multiplicity 1)

Values from the calculation:
V ... 24.22 Å³ per atom
Offset from the most stable computed form ... 0.127 eV/atom
DOS at the Fermi energy ... 3.0 states/eV/cell
Energy of formation from the pure elements ... 1.5 meV per atom

# 4
Material: BaHfGeB
Method: DFT, PBE
State: relaxed

abc: 3.418 3.875 13.675
angles: 90.00 90.00 90.00
Space group Amm2 (No. 38)
Inequivalent atoms, fractional coordinates:
1 Ba 0.000 0.000 0.000 (multiplicity 2)
2 Hf 0.500 0.000 0.719 (multiplicity 2)
3 Ge 0.500 0.000 0.350 (multiplicity 2)
4 B 0.000 0.000 0.243 (multiplicity 2)

Values from the calculation:
V ... 22.65 Å³ per atom
Offset from the most stable computed form ... 0.100 eV/atom
DOS at the Fermi energy ... 4.4 states/eV/cell
Energy of formation from the pure elements ... -25.6 meV per atom

# 5
Material: BaHfGeB
Method: DFT, PBE
State: relaxed

abc: 14.339 3.508 3.420
angles: 90.00 90.34 90.00
Space group Cm (No. 8)
Inequivalent atoms, fractional coordinates:
1 Ba 0.000 0.000 0.000 (multiplicity 2)
2 Hf 0.280 0.000 0.009 (multiplicity 2)
3 Ge 0.161 0.500 0.504 (multiplicity 2)
4 B 0.309 0.500 0.509 (multiplicity 2)

Values from the calculation:
V ... 21.51 Å³ per atom
Offset from the most stable computed form ... 0.016 eV/atom
DOS at the Fermi energy ... 5.6 states/eV/cell
Energy of formation from the pure elements ... -109.4 meV per atom

# 6
Material: BaHfGeB
Method: DFT, PBE
State: relaxed

abc: 3.4762 3.4762 8.6292
angles: 90.00 90.00 120.00
Space group P3m1 (No. 156)
Inequivalent atoms, fractional coordinates:
1 Ba 0.0000 0.0000 0.0000 (multiplicity 1)
2 Hf 0.6667 0.3333 0.3893 (multiplicity 1)
3 Ge 0.6667 0.3333 0.6871 (multiplicity 1)
4 B 0.0000 0.0000 0.5624 (multiplicity 1)

Values from the calculation:
V ... 22.58 Å³ per atom
Offset from the most stable computed form ... 0.372 eV/atom
DOS at the Fermi energy ... 2.7 states/eV/cell
Energy of formation from the pure elements ... 246.6 meV per atom

# 7
Material: BaHfGeB
Method: DFT, PBE
State: relaxed

abc: 7.651 3.480 7.521
angles: 90.00 106.44 90.00
Space group Cm (No. 8)
Inequivalent atoms, fractional coordinates:
1 Ba 0.000 0.000 0.000 (multiplicity 2)
2 Hf 0.326 0.500 0.427 (multiplicity 2)
3 Ge 0.105 0.500 0.665 (multiplicity 2)
4 B 0.170 0.000 0.532 (multiplicity 2)

Values from the calculation:
V ... 24.01 Å³ per atom
Offset from the most stable computed form ... 0.176 eV/atom
DOS at the Fermi energy ... 5.4 states/eV/cell
Energy of formation from the pure elements ... 50.8 meV per atom

# 8
Material: BaHfGeB
Method: DFT, PBE
State: relaxed

abc: 3.672 5.030 10.076
angles: 90.00 90.00 90.00
Space group Imm2 (No. 44)
Inequivalent atoms, fractional coordinates:
1 Ba 0.000 0.000 0.000 (multiplicity 2)
2 Hf 0.000 0.500 0.794 (multiplicity 2)
3 Ge 0.000 0.000 0.647 (multiplicity 2)
4 B 0.000 0.000 0.435 (multiplicity 2)

Values from the calculation:
V ... 23.26 Å³ per atom
Offset from the most stable computed form ... 0.314 eV/atom
DOS at the Fermi energy ... 3.1 states/eV/cell
Energy of formation from the pure elements ... 189.0 meV per atom

# 9
Material: BaHfGeB
Method: DFT, PBE
State: relaxed

abc: 8.667 3.537 6.661
angles: 90.00 113.34 90.00
Space group Cm (No. 8)
Inequivalent atoms, fractional coordinates:
1 Ba 0.000 0.000 0.000 (multiplicity 2)
2 Hf 0.086 0.500 0.548 (multiplicity 2)
3 Ge 0.320 0.500 0.374 (multiplicity 2)
4 B 0.273 0.000 0.532 (multiplicity 2)

Values from the calculation:
V ... 23.43 Å³ per atom
Offset from the most stable computed form ... 0.073 eV/atom
DOS at the Fermi energy ... 4.7 states/eV/cell
Energy of formation from the pure elements ... -52.6 meV per atom

# 10
Material: BaHfGeB
Method: DFT, PBE
State: relaxed

abc: 3.452 3.452 14.720
angles: 90.00 90.00 90.00
Space group I4mm (No. 107)
Inequivalent atoms, fractional coordinates:
1 Ba 0.000 0.000 0.000 (multiplicity 2)
2 Hf 0.000 0.000 0.718 (multiplicity 2)
3 Ge 0.000 0.000 0.340 (multiplicity 2)
4 B 0.000 0.000 0.197 (multiplicity 2)

Values from the calculation:
V ... 21.92 Å³ per atom
Offset from the most stable computed form ... 0.000 eV/atom
DOS at the Fermi energy ... 5.5 states/eV/cell
Energy of formation from the pure elements ... -125.2 meV per atom

# 11
Material: BaHgGe2B
Method: DFT, PBE
State: relaxed

abc: 4.567 4.567 5.904
angles: 90.00 90.00 90.00
Space group P4/mmm (No. 123)
Inequivalent atoms, fractional coordinates:
1 Ba 0.000 0.000 0.000 (multiplicity 1)
2 Hg 0.500 0.500 0.000 (multiplicity 1)
3 Ge 0.000 0.500 0.500 (multiplicity 2)
4 B 0.000 0.000 0.500 (multiplicity 1)

Values from the calculation:
V ... 24.63 Å³ per atom
DOS at the Fermi energy ... 3.3 states/eV/cell
Energy of formation from the pure elements ... 347.2 meV per atom

# 12
Material: K2BaGeB
Method: DFT, PBE
State: relaxed

abc: 7.157 7.157 3.836
angles: 90.00 90.00 90.00
Space group P4/mmm (No. 123)
Inequivalent atoms, fractional coordinates:
1 K 0.000 0.500 0.000 (multiplicity 2)
2 Ba 0.000 0.000 0.500 (multiplicity 1)
3 Ge 0.500 0.500 0.000 (multiplicity 1)
4 B 0.500 0.500 0.500 (multiplicity 1)

Values from the calculation:
V ... 39.30 Å³ per atom
DOS at the Fermi energy ... 4.6 states/eV/cell
Energy of formation from the pure elements ... 654.3 meV per atom

What did the ninth record say?
Material: BaHfGeB
Method: DFT, PBE
State: relaxed

abc: 8.667 3.537 6.661
angles: 90.00 113.34 90.00
Space group Cm (No. 8)
Inequivalent atoms, fractional coordinates:
1 Ba 0.000 0.000 0.000 (multiplicity 2)
2 Hf 0.086 0.500 0.548 (multiplicity 2)
3 Ge 0.320 0.500 0.374 (multiplicity 2)
4 B 0.273 0.000 0.532 (multiplicity 2)

Values from the calculation:
V ... 23.43 Å³ per atom
Offset from the most stable computed form ... 0.073 eV/atom
DOS at the Fermi energy ... 4.7 states/eV/cell
Energy of formation from the pure elements ... -52.6 meV per atom